# Zr4AlTc2 (PBE, optimized geometry)
# Density of states at the Fermi level = 0.74 states/eV per atom
# V = 20.2 Å³/atom
# Magnetic moment = 0.00 μB/f.u.
# E_form = -0.229 eV/atom
# Raw total energy = -8.61 eV per atom
data_Zr4AlTc2
_chemical_formula_sum 'Zr12 Al3 Tc6'
_space_group_name_H-M_alt 'R -3 m'
_space_group_IT_number 166
_space_group_name_Hall '-R 3 2"'
_cell_length_a 4.6873
_cell_length_b 4.6873
_cell_length_c 22.2680
_cell_angle_alpha 90.00
_cell_angle_beta 90.00
_cell_angle_gamma 120.00
loop_
_atom_site_label
_atom_site_type_symbol
_atom_site_fract_x
_atom_site_fract_y
_atom_site_fract_z
Zr1 Zr 0.0000 0.0000 0.1166
Zr2 Zr 0.0000 0.0000 0.3686
Al1 Al 0.0000 0.0000 0.5000
Tc1 Tc 0.0000 0.0000 0.2450